Entry from the Alexandria database: crystalline Nd2YAu4 at its relaxed geometry (PBE-GGA).

The structure in CIF format:
```
data_Nd2YAu4
_chemical_formula_sum 'Nd4 Y2 Au8'
_cell_length_a 5.337
_cell_length_b 5.337
_cell_length_c 15.155
_cell_angle_alpha 90.00
_cell_angle_beta 90.00
_cell_angle_gamma 90.00
_symmetry_space_group_name_H-M 'P 1'
_symmetry_Int_Tables_number 1
loop_
_symmetry_equiv_pos_as_xyz
'x,y,z'
loop_
_atom_site_label
_atom_site_fract_x
_atom_site_fract_y
_atom_site_fract_z
Nd1 0.000 0.000 0.120
Nd2 0.000 0.000 0.880
Nd3 0.500 0.500 0.380
Nd4 0.500 0.500 0.620
Y1 0.000 0.000 0.500
Y2 0.500 0.500 0.000
Au1 0.000 0.000 0.314
Au2 0.000 0.000 0.686
Au3 0.000 0.500 0.000
Au4 0.000 0.500 0.500
Au5 0.500 0.000 0.000
Au6 0.500 0.000 0.500
Au7 0.500 0.500 0.186
Au8 0.500 0.500 0.814
```

Output
**Size of the total moment**: 0.000 μB/atom
**Relative energy among the computed polymorphs**: 372.0 meV/atom

***

Entry from the Alexandria database: crystalline NdY2Au2 at its relaxed geometry (PBE-GGA).

The structure in CIF format:
```
data_NdY2Au2
_chemical_formula_sum 'Nd2 Y4 Au4'
_cell_length_a 5.323
_cell_length_b 4.933
_cell_length_c 10.848
_cell_angle_alpha 90.00
_cell_angle_beta 95.85
_cell_angle_gamma 90.00
_symmetry_space_group_name_H-M 'P 1'
_symmetry_Int_Tables_number 1
loop_
_symmetry_equiv_pos_as_xyz
'x,y,z'
loop_
_atom_site_label
_atom_site_fract_x
_atom_site_fract_y
_atom_site_fract_z
Nd1 0.201 0.250 0.236
Nd2 0.799 0.750 0.764
Y1 0.248 0.750 0.493
Y2 0.326 0.250 0.888
Y3 0.674 0.750 0.112
Y4 0.752 0.250 0.507
Au1 0.160 0.750 0.012
Au2 0.278 0.250 0.627
Au3 0.722 0.750 0.373
Au4 0.840 0.250 0.988
```

Output
**Size of the total moment**: 0.000 μB/atom
**Relative energy among the computed polymorphs**: 71.3 meV/atom

***

Entry from the Alexandria database: crystalline NdY3Au4 at its relaxed geometry (PBE-GGA).

The structure in CIF format:
```
data_NdY3Au4
_chemical_formula_sum 'Nd1 Y3 Au4'
_cell_length_a 8.958
_cell_length_b 8.958
_cell_length_c 8.958
_cell_angle_alpha 33.28
_cell_angle_beta 33.28
_cell_angle_gamma 33.28
_symmetry_space_group_name_H-M 'P 1'
_symmetry_Int_Tables_number 1
loop_
_symmetry_equiv_pos_as_xyz
'x,y,z'
loop_
_atom_site_label
_atom_site_fract_x
_atom_site_fract_y
_atom_site_fract_z
Nd1 0.000 0.000 0.000
Y1 0.249 0.249 0.249
Y2 0.500 0.500 0.500
Y3 0.751 0.751 0.751
Au1 0.127 0.127 0.127
Au2 0.379 0.379 0.379
Au3 0.621 0.621 0.621
Au4 0.873 0.873 0.873
```

Output
**Size of the total moment**: 0.000 μB/atom

***

Entry from the Alexandria database: crystalline Nd2YAu3 at its relaxed geometry (PBE-GGA).

The structure in CIF format:
```
data_Nd2YAu3
_chemical_formula_sum 'Nd4 Y2 Au6'
_cell_length_a 5.204
_cell_length_b 15.730
_cell_length_c 3.658
_cell_angle_alpha 90.00
_cell_angle_beta 90.00
_cell_angle_gamma 90.00
_symmetry_space_group_name_H-M 'P 1'
_symmetry_Int_Tables_number 1
loop_
_symmetry_equiv_pos_as_xyz
'x,y,z'
loop_
_atom_site_label
_atom_site_fract_x
_atom_site_fract_y
_atom_site_fract_z
Nd1 0.250 0.083 0.001
Nd2 0.250 0.417 0.001
Nd3 0.750 0.583 0.999
Nd4 0.750 0.917 0.999
Y1 0.250 0.750 0.000
Y2 0.750 0.250 0.000
Au1 0.250 0.250 0.500
Au2 0.250 0.592 0.499
Au3 0.250 0.908 0.499
Au4 0.750 0.092 0.501
Au5 0.750 0.408 0.501
Au6 0.750 0.750 0.500
```

Output
**Size of the total moment**: 0.000 μB/atom

***

Entry from the Alexandria database: crystalline YbNdAu2 at its relaxed geometry (PBE-GGA).

The structure in CIF format:
```
data_YbNdAu2
_chemical_formula_sum 'Yb4 Nd4 Au8'
_cell_length_a 7.300
_cell_length_b 7.300
_cell_length_c 7.300
_cell_angle_alpha 90.00
_cell_angle_beta 90.00
_cell_angle_gamma 90.00
_symmetry_space_group_name_H-M 'P 1'
_symmetry_Int_Tables_number 1
loop_
_symmetry_equiv_pos_as_xyz
'x,y,z'
loop_
_atom_site_label
_atom_site_fract_x
_atom_site_fract_y
_atom_site_fract_z
Yb1 0.000 0.000 0.000
Yb2 0.000 0.500 0.500
Yb3 0.500 0.000 0.500
Yb4 0.500 0.500 0.000
Nd1 0.000 0.000 0.500
Nd2 0.000 0.500 0.000
Nd3 0.500 0.000 0.000
Nd4 0.500 0.500 0.500
Au1 0.250 0.250 0.250
Au2 0.250 0.250 0.750
Au3 0.250 0.750 0.250
Au4 0.250 0.750 0.750
Au5 0.750 0.250 0.250
Au6 0.750 0.250 0.750
Au7 0.750 0.750 0.250
Au8 0.750 0.750 0.750
```

Output
**Size of the total moment**: 0.000 μB/atom

***

Entry from the Alexandria database: crystalline NdZn6Au4 at its relaxed geometry (PBE-GGA).

The structure in CIF format:
```
data_NdZn6Au4
_chemical_formula_sum 'Nd1 Zn6 Au4'
_cell_length_a 7.473
_cell_length_b 7.473
_cell_length_c 4.196
_cell_angle_alpha 90.00
_cell_angle_beta 90.00
_cell_angle_gamma 120.00
_symmetry_space_group_name_H-M 'P 1'
_symmetry_Int_Tables_number 1
loop_
_symmetry_equiv_pos_as_xyz
'x,y,z'
loop_
_atom_site_label
_atom_site_fract_x
_atom_site_fract_y
_atom_site_fract_z
Nd1 0.000 0.000 0.000
Zn1 0.206 0.412 0.500
Zn2 0.206 0.794 0.500
Zn3 0.539 0.077 0.000
Zn4 0.539 0.461 0.000
Zn5 0.588 0.794 0.500
Zn6 0.923 0.461 0.000
Au1 0.333 0.667 0.000
Au2 0.390 0.195 0.500
Au3 0.805 0.195 0.500
Au4 0.805 0.610 0.500
```

Output
**Size of the total moment**: 0.000 μB/atom

***

Entry from the Alexandria database: crystalline Nd3Zn4Au2 at its relaxed geometry (PBE-GGA).

The structure in CIF format:
```
data_Nd3Zn4Au2
_chemical_formula_sum 'Nd3 Zn4 Au2'
_cell_length_a 5.885
_cell_length_b 5.885
_cell_length_c 8.800
_cell_angle_alpha 111.82
_cell_angle_beta 111.82
_cell_angle_gamma 45.98
_symmetry_space_group_name_H-M 'P 1'
_symmetry_Int_Tables_number 1
loop_
_symmetry_equiv_pos_as_xyz
'x,y,z'
loop_
_atom_site_label
_atom_site_fract_x
_atom_site_fract_y
_atom_site_fract_z
Nd1 0.000 0.000 0.000
Nd2 0.330 0.330 0.336
Nd3 0.670 0.670 0.664
Zn1 0.045 0.045 0.384
Zn2 0.273 0.273 0.944
Zn3 0.727 0.727 0.056
Zn4 0.955 0.955 0.616
Au1 0.392 0.392 0.726
Au2 0.608 0.608 0.274
```

Output
**Size of the total moment**: 0.000 μB/atom

***

Entry from the Alexandria database: crystalline Nd2Zn3Au5 at its relaxed geometry (PBE-GGA).

The structure in CIF format:
```
data_Nd2Zn3Au5
_chemical_formula_sum 'Nd4 Zn6 Au10'
_cell_length_a 12.625
_cell_length_b 12.625
_cell_length_c 7.235
_cell_angle_alpha 90.00
_cell_angle_beta 90.00
_cell_angle_gamma 159.28
_symmetry_space_group_name_H-M 'P 1'
_symmetry_Int_Tables_number 1
loop_
_symmetry_equiv_pos_as_xyz
'x,y,z'
loop_
_atom_site_label
_atom_site_fract_x
_atom_site_fract_y
_atom_site_fract_z
Nd1 0.022 0.978 0.500
Nd2 0.323 0.677 0.557
Nd3 0.677 0.323 0.057
Nd4 0.978 0.022 0.000
Zn1 0.115 0.885 0.797
Zn2 0.279 0.721 0.103
Zn3 0.452 0.548 0.693
Zn4 0.548 0.452 0.193
Zn5 0.721 0.279 0.603
Zn6 0.885 0.115 0.297
Au1 0.101 0.899 0.176
Au2 0.200 0.800 0.384
Au3 0.219 0.781 0.801
Au4 0.382 0.618 0.984
Au5 0.446 0.554 0.314
Au6 0.554 0.446 0.814
Au7 0.618 0.382 0.484
Au8 0.781 0.219 0.301
Au9 0.800 0.200 0.884
Au10 0.899 0.101 0.676
```

Output
**Size of the total moment**: 0.000 μB/atom
**Relative energy among the computed polymorphs**: 0.0 meV/atom

***

Entry from the Alexandria database: crystalline NdZn2Au3 at its relaxed geometry (PBE-GGA).

The structure in CIF format:
```
data_NdZn2Au3
_chemical_formula_sum 'Nd2 Zn4 Au6'
_cell_length_a 6.749
_cell_length_b 6.749
_cell_length_c 5.376
_cell_angle_alpha 90.00
_cell_angle_beta 90.00
_cell_angle_gamma 84.92
_symmetry_space_group_name_H-M 'P 1'
_symmetry_Int_Tables_number 1
loop_
_symmetry_equiv_pos_as_xyz
'x,y,z'
loop_
_atom_site_label
_atom_site_fract_x
_atom_site_fract_y
_atom_site_fract_z
Nd1 0.194 0.806 0.750
Nd2 0.806 0.194 0.250
Zn1 0.268 0.268 0.000
Zn2 0.268 0.268 0.500
Zn3 0.732 0.732 0.000
Zn4 0.732 0.732 0.500
Au1 0.045 0.606 0.250
Au2 0.394 0.955 0.250
Au3 0.458 0.542 0.250
Au4 0.542 0.458 0.750
Au5 0.606 0.045 0.750
Au6 0.955 0.394 0.750
```

Output
**Size of the total moment**: 0.000 μB/atom

***

Entry from the Alexandria database: crystalline Nd2Zn15Au2 at its relaxed geometry (PBE-GGA).

The structure in CIF format:
```
data_Nd2Zn15Au2
_chemical_formula_sum 'Nd2 Zn15 Au2'
_cell_length_a 6.896
_cell_length_b 6.896
_cell_length_c 6.896
_cell_angle_alpha 82.68
_cell_angle_beta 82.68
_cell_angle_gamma 82.68
_symmetry_space_group_name_H-M 'P 1'
_symmetry_Int_Tables_number 1
loop_
_symmetry_equiv_pos_as_xyz
'x,y,z'
loop_
_atom_site_label
_atom_site_fract_x
_atom_site_fract_y
_atom_site_fract_z
Nd1 0.160 0.160 0.160
Nd2 0.840 0.840 0.840
Zn1 0.000 0.500 0.500
Zn2 0.149 0.149 0.663
Zn3 0.149 0.663 0.149
Zn4 0.207 0.500 0.793
Zn5 0.207 0.793 0.500
Zn6 0.337 0.851 0.851
Zn7 0.500 0.000 0.500
Zn8 0.500 0.207 0.793
Zn9 0.500 0.500 0.000
Zn10 0.500 0.793 0.207
Zn11 0.663 0.149 0.149
Zn12 0.793 0.207 0.500
Zn13 0.793 0.500 0.207
Zn14 0.851 0.337 0.851
Zn15 0.851 0.851 0.337
Au1 0.391 0.391 0.391
Au2 0.609 0.609 0.609
```

Output
**Size of the total moment**: 0.000 μB/atom

***

Entry from the Alexandria database: crystalline Nd2Zn5Au4 at its relaxed geometry (PBE-GGA).

The structure in CIF format:
```
data_Nd2Zn5Au4
_chemical_formula_sum 'Nd2 Zn5 Au4'
_cell_length_a 9.800
_cell_length_b 9.043
_cell_length_c 5.425
_cell_angle_alpha 81.10
_cell_angle_beta 65.74
_cell_angle_gamma 33.16
_symmetry_space_group_name_H-M 'P 1'
_symmetry_Int_Tables_number 1
loop_
_symmetry_equiv_pos_as_xyz
'x,y,z'
loop_
_atom_site_label
_atom_site_fract_x
_atom_site_fract_y
_atom_site_fract_z
Nd1 0.129 0.129 0.871
Nd2 0.871 0.871 0.129
Zn1 0.000 0.000 0.500
Zn2 0.250 0.250 0.250
Zn3 0.500 0.500 0.000
Zn4 0.500 0.500 0.500
Zn5 0.750 0.750 0.750
Au1 0.211 0.529 0.471
Au2 0.471 0.789 0.211
Au3 0.529 0.211 0.789
Au4 0.789 0.471 0.529
```

Output
**Size of the total moment**: 0.000 μB/atom

***

Energy of formation from the pure elements
In order: -0.30 -0.61 -0.83 -0.79 -0.89 -0.37 -0.54 -0.53 -0.48 -0.30 -0.50
Unit: eV/atom
N(E_F)
In order: 10.993 12.105 4.482 8.346 10.550 5.067 6.151 11.036 3.906 6.545 3.816
Unit: states/eV per cell